Record 1
Below is an optimized crystal structure of CuHSe2Br, with properties calculated at the PBE level.

Calculated values
**E above lowest polymorph**: 0.00 eV per formula unit
**Fermi-level density of states**: 0.41 states/eV per atom

Lattice parameters (Å, degrees): 3.838 3.838 7.785 90.00 90.00 90.00
Atoms (fractional coordinates):
Cu (0.000, 0.000, 0.000)
H (0.500, 0.500, 0.500)
Se (0.000, 0.500, 0.500)
Se (0.500, 0.000, 0.500)
Br (0.500, 0.500, 0.000)

Record 2
Below is an optimized crystal structure of Dy4CdIn2, with properties calculated at the PBE level.

Calculated values
**Formation energy**: -0.28 eV/atom
**E above lowest polymorph**: 0.00 eV per formula unit
**Fermi-level density of states**: 0.91 states/eV per atom

Lattice parameters (Å, degrees): 9.008 9.008 9.008 33.89 33.89 33.89
Atoms (fractional coordinates):
Dy (0.119, 0.119, 0.119)
Dy (0.372, 0.372, 0.372)
Dy (0.628, 0.628, 0.628)
Dy (0.881, 0.881, 0.881)
Cd (0.500, 0.500, 0.500)
In (0.248, 0.248, 0.248)
In (0.752, 0.752, 0.752)

Record 3
Below is an optimized crystal structure of Ac2PmP3, with properties calculated at the PBE level.

Calculated values
**Formation energy**: -1.47 eV/atom
**Fermi-level density of states**: 0.18 states/eV per atom

Lattice parameters (Å, degrees): 14.414 13.743 7.529 79.48 69.62 30.90
Atoms (fractional coordinates):
Ac (0.042, 0.042, 0.208)
Ac (0.125, 0.125, 0.625)
Ac (0.208, 0.208, 0.042)
Ac (0.375, 0.375, 0.875)
Ac (0.625, 0.625, 0.125)
Ac (0.792, 0.792, 0.958)
Ac (0.875, 0.875, 0.375)
Ac (0.958, 0.958, 0.792)
Pm (0.292, 0.292, 0.458)
Pm (0.458, 0.458, 0.292)
Pm (0.542, 0.542, 0.708)
Pm (0.708, 0.708, 0.542)
P (0.039, 0.540, 0.222)
P (0.137, 0.613, 0.613)
P (0.222, 0.699, 0.039)
P (0.301, 0.778, 0.460)
P (0.387, 0.863, 0.863)
P (0.460, 0.961, 0.301)
P (0.540, 0.039, 0.699)
P (0.613, 0.137, 0.137)
P (0.699, 0.222, 0.540)
P (0.778, 0.301, 0.961)
P (0.863, 0.387, 0.387)
P (0.961, 0.460, 0.778)

Record 4
Below is an optimized crystal structure of Rb3Hg2I7, with properties calculated at the PBE level.

Calculated values
**Fermi-level density of states**: 0.21 states/eV per atom
**Uncorrected formation energy**: -0.82 eV/atom

Lattice parameters (Å, degrees): 15.313 15.313 6.045 90.00 90.00 156.73
Atoms (fractional coordinates):
Rb (0.000, 0.000, 0.000)
Rb (0.170, 0.830, 0.000)
Rb (0.830, 0.170, 0.000)
Hg (0.397, 0.603, 0.500)
Hg (0.603, 0.397, 0.500)
I (0.093, 0.907, 0.500)
I (0.300, 0.700, 0.500)
I (0.406, 0.594, 0.000)
I (0.500, 0.500, 0.500)
I (0.594, 0.406, 0.000)
I (0.700, 0.300, 0.500)
I (0.907, 0.093, 0.500)

Calculated mass density, 4.38 8.13 6.60 4.58 g cm⁻³ (same order as the records).
Calculated total DFT energy (no corrections), -2.8404 -3.8259 -6.3387 -2.0126 eV per atom (same order as the records).